A plane-wave DFT calculation with GGA-PBE was carried out for an optimized crystal structure of V4HgTe8.

Summary:
As for the calculated density: 6.68 Mg/m³. The calculation puts the uncorrected formation energy at -368 kJ/mol of formula units. As for the total energy: -5.056 eV/atom.

abc: 11.230 11.230 11.230
angles: 90.00 90.00 90.00
Space group F-43m (No. 216)
Asymmetric unit:
V1 0.107 0.107 0.107 x16
Hg1 0.000 0.000 0.500 x4
Te1 0.130 0.130 0.870 x16
Te2 0.143 0.143 0.357 x16

=====

A plane-wave DFT calculation with GGA-PBE was carried out for an optimized crystal structure of V5Hg3Te12.

Summary:
As for the calculated density: 6.47 Mg/m³. The calculation puts the uncorrected formation energy at 22 kJ/mol of formula units. As for the total energy: -4.198 eV/atom.

abc: 16.988 16.988 16.988
angles: 90.00 90.00 90.00
Space group Ia-3d (No. 230)
Asymmetric unit:
V1 0.000 0.000 0.000 x16
V2 0.000 0.250 0.375 x24
Hg1 0.000 0.250 0.125 x24
Te1 0.038 0.058 0.644 x96

=====

A plane-wave DFT calculation with GGA-PBE was carried out for an optimized crystal structure of VHg3Te.

Summary:
As for the calculated density: 7.25 Mg/m³. The calculation puts the uncorrected formation energy at 489 kJ/mol of formula units. As for the total energy: -1.620 eV/atom.

abc: 5.633 5.633 5.633
angles: 90.00 90.00 90.00
Space group Pm-3m (No. 221)
Asymmetric unit:
V1 0.000 0.000 0.000 x1
Hg1 0.000 0.500 0.500 x3
Te1 0.500 0.500 0.500 x1

=====

A plane-wave DFT calculation with GGA-PBE was carried out for an optimized crystal structure of V2HgTe4.

Summary:
As for the calculated density: 6.59 Mg/m³. The calculation puts the uncorrected formation energy at -181 kJ/mol of formula units. As for the total energy: -4.712 eV/atom.

abc: 17.244 3.605 6.589
angles: 90.00 91.17 90.00
Space group C2/m (No. 12)
Asymmetric unit:
V1 0.246 0.000 0.206 x4
Hg1 0.000 0.500 0.500 x2
Te1 0.141 0.500 0.067 x4
Te2 0.168 0.000 0.569 x4

=====

uncorrected formation energy of number 1 (V4HgTe8)?
-368 kJ/mol of formula units

=====

The highest uncorrected formation energy belongs to which entry?
VHg3Te